[1]
SrTa2Tc: relaxed, PBE.

Computed properties:
**E above lowest polymorph**: 585.1 meV per atom

Cell and atoms, written as CIF:
```
data_SrTa2Tc
_chemical_formula_sum 'Sr1 Ta2 Tc1'
_space_group_name_H-M_alt 'P 4/m m m'
_space_group_IT_number 123
_space_group_name_Hall '-P 4 2'
_cell_length_a 4.915
_cell_length_b 4.915
_cell_length_c 3.213
_cell_angle_alpha 90.00
_cell_angle_beta 90.00
_cell_angle_gamma 90.00
loop_
_atom_site_label
_atom_site_type_symbol
_atom_site_fract_x
_atom_site_fract_y
_atom_site_fract_z
Sr1 Sr 0.000 0.000 0.000
Ta1 Ta 0.000 0.500 0.500
Tc1 Tc 0.500 0.500 0.000
```

***

[2]
CuSBr: relaxed, PBE.

Computed properties:
**Formation energy without anion corrections**: -192 meV per atom
**E above lowest polymorph**: 11.5 meV per atom

Cell and atoms, written as CIF:
```
data_CuSBr
_chemical_formula_sum 'Cu2 S2 Br2'
_space_group_name_H-M_alt 'P -1'
_space_group_IT_number 2
_cell_length_a 3.560
_cell_length_b 5.031
_cell_length_c 9.598
_cell_angle_alpha 101.60
_cell_angle_beta 90.37
_cell_angle_gamma 110.64
loop_
_space_group_symop_operation_xyz
'x,y,z'
'-x,-y,-z'
loop_
_atom_site_label
_atom_site_type_symbol
_atom_site_fract_x
_atom_site_fract_y
_atom_site_fract_z
Cu1 Cu 0.224 0.442 0.172
S1 S 0.390 0.781 0.968
Br1 Br 0.151 0.312 0.675
```

***

[3]
CrSb2PbCl: relaxed, PBE.

Computed properties:
**Formation energy without anion corrections**: 829 meV per atom

Cell and atoms, written as CIF:
```
data_CrSb2PbCl
_chemical_formula_sum 'Cr1 Sb2 Pb1 Cl1'
_space_group_name_H-M_alt 'P 4/m m m'
_space_group_IT_number 123
_space_group_name_Hall '-P 4 2'
_cell_length_a 5.652
_cell_length_b 5.652
_cell_length_c 4.214
_cell_angle_alpha 90.00
_cell_angle_beta 90.00
_cell_angle_gamma 90.00
loop_
_atom_site_label
_atom_site_type_symbol
_atom_site_fract_x
_atom_site_fract_y
_atom_site_fract_z
Cr1 Cr 0.000 0.000 0.000
Sb1 Sb 0.000 0.500 0.500
Pb1 Pb 0.500 0.500 0.000
Cl1 Cl 0.000 0.000 0.500
```

***

[4]
NaLa2Ge4: relaxed, PBE.

Cell and atoms, written as CIF:
```
data_NaLa2Ge4
_chemical_formula_sum 'Na2 La4 Ge8'
_space_group_name_H-M_alt 'I 4/m m m'
_space_group_IT_number 139
_space_group_name_Hall '-I 4 2'
_cell_length_a 4.898
_cell_length_b 4.898
_cell_length_c 15.481
_cell_angle_alpha 90.00
_cell_angle_beta 90.00
_cell_angle_gamma 90.00
loop_
_atom_site_label
_atom_site_type_symbol
_atom_site_fract_x
_atom_site_fract_y
_atom_site_fract_z
Na1 Na 0.000 0.000 0.000
La1 La 0.000 0.000 0.364
Ge1 Ge 0.000 0.000 0.169
Ge2 Ge 0.000 0.500 0.000
```

***

[5]
LiSm3Hg2: relaxed, PBE.

Cell and atoms, written as CIF:
```
data_LiSm3Hg2
_chemical_formula_sum 'Li2 Sm6 Hg4'
_space_group_name_H-M_alt 'C m m m'
_space_group_IT_number 65
_space_group_name_Hall '-C 2 2'
_cell_length_a 5.257
_cell_length_b 16.012
_cell_length_c 3.854
_cell_angle_alpha 90.00
_cell_angle_beta 90.00
_cell_angle_gamma 90.00
loop_
_atom_site_label
_atom_site_type_symbol
_atom_site_fract_x
_atom_site_fract_y
_atom_site_fract_z
Li1 Li 0.000 0.000 0.000
Sm1 Sm 0.000 0.169 0.500
Sm2 Sm 0.000 0.500 0.500
Hg1 Hg 0.000 0.343 0.000
```

***

[6]
BaScFe2: relaxed, PBE.

Computed properties:
**E above lowest polymorph**: 545.4 meV per atom

Cell and atoms, written as CIF:
```
data_BaScFe2
_chemical_formula_sum 'Ba4 Sc4 Fe8'
_space_group_name_H-M_alt 'I 41/a m d'
_space_group_IT_number 141
_cell_length_a 4.744
_cell_length_b 4.744
_cell_length_c 17.223
_cell_angle_alpha 90.00
_cell_angle_beta 90.00
_cell_angle_gamma 90.00
loop_
_space_group_symop_operation_xyz
'x,y,z'
'-x,-y,-z'
'-y+1/4,x+3/4,z+1/4'
'y+1/4,-x+3/4,-z+1/4'
'-x+1/2,-y,z+1/2'
'x+1/2,y,-z+1/2'
'y+1/4,-x+1/4,z+3/4'
'-y+1/4,x+1/4,-z+3/4'
'x,-y,-z'
'-x,y,z'
'-y+1/4,-x+1/4,-z+3/4'
'y+1/4,x+1/4,z+3/4'
'-x+1/2,y,-z+1/2'
'x+1/2,-y,z+1/2'
'y+1/4,x+3/4,-z+1/4'
'-y+1/4,-x+3/4,z+1/4'
'x+1/2,y+1/2,z+1/2'
'-x+1/2,-y+1/2,-z+1/2'
'-y+3/4,x+1/4,z+3/4'
'y+3/4,-x+1/4,-z+3/4'
'-x,-y+1/2,z'
'x,y+1/2,-z'
'y+3/4,-x+3/4,z+1/4'
'-y+3/4,x+3/4,-z+1/4'
'x+1/2,-y+1/2,-z+1/2'
'-x+1/2,y+1/2,z+1/2'
'-y+3/4,-x+3/4,-z+1/4'
'y+3/4,x+3/4,z+1/4'
'-x,y+1/2,-z'
'x,-y+1/2,z'
'y+3/4,x+1/4,-z+3/4'
'-y+3/4,-x+1/4,z+3/4'
loop_
_atom_site_label
_atom_site_type_symbol
_atom_site_fract_x
_atom_site_fract_y
_atom_site_fract_z
Ba1 Ba 0.000 0.250 0.375
Sc1 Sc 0.000 0.250 0.875
Fe1 Fe 0.000 0.000 0.000
```

***

[7]
YSeSBr2: relaxed, PBE.

Computed properties:
**Formation energy without anion corrections**: -149 meV per atom
**E above lowest polymorph**: 344.3 meV per atom

Cell and atoms, written as CIF:
```
data_YSeSBr2
_chemical_formula_sum 'Y1 Se1 S1 Br2'
_space_group_name_H-M_alt 'P 4/m m m'
_space_group_IT_number 123
_space_group_name_Hall '-P 4 2'
_cell_length_a 5.152
_cell_length_b 5.152
_cell_length_c 4.946
_cell_angle_alpha 90.00
_cell_angle_beta 90.00
_cell_angle_gamma 90.00
loop_
_atom_site_label
_atom_site_type_symbol
_atom_site_fract_x
_atom_site_fract_y
_atom_site_fract_z
Y1 Y 0.000 0.000 0.000
Se1 Se 0.500 0.500 0.000
S1 S 0.500 0.500 0.500
Br1 Br 0.000 0.500 0.500
```

***

[8]
PrSmY14: relaxed, PBE.

Cell and atoms, written as CIF:
```
data_PrSmY14
_chemical_formula_sum 'Pr1 Sm1 Y14'
_space_group_name_H-M_alt 'P 4/m m m'
_space_group_IT_number 123
_space_group_name_Hall '-P 4 2'
_cell_length_a 7.172
_cell_length_b 7.172
_cell_length_c 10.114
_cell_angle_alpha 90.00
_cell_angle_beta 90.00
_cell_angle_gamma 90.00
loop_
_atom_site_label
_atom_site_type_symbol
_atom_site_fract_x
_atom_site_fract_y
_atom_site_fract_z
Pr1 Pr 0.000 0.000 0.000
Sm1 Sm 0.500 0.500 0.000
Y1 Y 0.000 0.000 0.500
Y2 Y 0.000 0.500 0.000
Y3 Y 0.000 0.500 0.500
Y4 Y 0.251 0.251 0.251
Y5 Y 0.500 0.500 0.500
```

***

| no. | DOS at the Fermi energy (states/eV/f.u.) | raw total energy (eV/atom) | total magnetization (Bohr magnetons per cell) |
| --- | --- | --- | --- |
| 1 | 5.0 | -7.91 | 0.0 |
| 2 | 1.5 | -3.49 | 0.0 |
| 3 | 7.1 | -3.86 | 0.8 |
| 4 | 2.4 | -4.28 | 0.0 |
| 5 | 7.8 | -3.09 | 1.4 |
| 6 | 5.5 | -5.51 | 12.1 |
| 7 | 2.8 | -3.63 | 0.6 |
| 8 | 22.1 | -6.23 | 0.0 |